# Sc3Hg2Pd (PBE, relaxed)
data_Sc3Hg2Pd
_chemical_formula_sum 'Sc3 Hg2 Pd1'
_cell_length_a 3.4221
_cell_length_b 3.4221
_cell_length_c 10.5411
_cell_angle_alpha 90.00
_cell_angle_beta 90.00
_cell_angle_gamma 90.00
_symmetry_space_group_name_H-M 'P 4/m m m'
_symmetry_Int_Tables_number 123
_symmetry_space_group_name_Hall '-P 4 2'
loop_
_atom_site_label
_atom_site_type_symbol
_atom_site_fract_x
_atom_site_fract_y
_atom_site_fract_z
Sc1 Sc 0.0000 0.0000 0.0000
Sc2 Sc 0.0000 0.0000 0.3503
Hg1 Hg 0.5000 0.5000 0.1740
Pd1 Pd 0.5000 0.5000 0.5000
# Relative energy among the computed polymorphs   0.3 kJ per mole of atoms

# Cs12P5I3 (PBE, relaxed)
data_Cs12P5I3
_chemical_formula_sum 'Cs96 P40 I24'
_cell_length_a 21.7500
_cell_length_b 21.7500
_cell_length_c 21.7500
_cell_angle_alpha 90.00
_cell_angle_beta 90.00
_cell_angle_gamma 90.00
_symmetry_space_group_name_H-M 'I a -3 d'
_symmetry_Int_Tables_number 230
_symmetry_space_group_name_Hall '-I 4bd 2c 3'
loop_
_atom_site_label
_atom_site_type_symbol
_atom_site_fract_x
_atom_site_fract_y
_atom_site_fract_z
Cs1 Cs 0.0277 0.0580 0.6465
P1 P 0.0000 0.0000 0.0000
P2 P 0.0000 0.2500 0.3750
I1 I 0.0000 0.2500 0.1250
# ΔE_f (raw)   -0.353 eV per atom

# ZrAlSe2 (PBE, relaxed)
data_ZrAlSe2
_chemical_formula_sum 'Zr1 Al1 Se2'
_cell_length_a 3.5072
_cell_length_b 3.4832
_cell_length_c 6.5205
_cell_angle_alpha 90.00
_cell_angle_beta 102.29
_cell_angle_gamma 90.00
_symmetry_space_group_name_H-M 'P 1 2/m 1'
_symmetry_Int_Tables_number 10
_symmetry_space_group_name_Hall '-P 2y'
loop_
_atom_site_label
_atom_site_type_symbol
_atom_site_fract_x
_atom_site_fract_y
_atom_site_fract_z
Zr1 Zr 0.0000 0.0000 0.0000
Al1 Al 0.0000 0.0000 0.5000
Se1 Se 0.3976 0.5000 0.7612
# ΔE_f (raw)   -0.743 eV per atom

# Ho2ErZn5 (PBE, relaxed)
data_Ho2ErZn5
_chemical_formula_sum 'Ho4 Er2 Zn10'
_cell_length_a 4.7867
_cell_length_b 4.7867
_cell_length_c 14.0249
_cell_angle_alpha 90.00
_cell_angle_beta 90.00
_cell_angle_gamma 90.00
_symmetry_space_group_name_H-M 'I 4/m m m'
_symmetry_Int_Tables_number 139
_symmetry_space_group_name_Hall '-I 4 2'
loop_
_atom_site_label
_atom_site_type_symbol
_atom_site_fract_x
_atom_site_fract_y
_atom_site_fract_z
Ho1 Ho 0.0000 0.0000 0.2344
Er1 Er 0.0000 0.0000 0.5000
Zn1 Zn 0.0000 0.0000 0.0000
Zn2 Zn 0.0000 0.5000 0.1144
# Final energy   -45.17 eV/cell

# Nd3Co2Ag (PBE, relaxed)
data_Nd3Co2Ag
_chemical_formula_sum 'Nd6 Co4 Ag2'
_cell_length_a 3.9131
_cell_length_b 10.1067
_cell_length_c 7.5180
_cell_angle_alpha 90.00
_cell_angle_beta 90.00
_cell_angle_gamma 90.00
_symmetry_space_group_name_H-M 'P m c 21'
_symmetry_Int_Tables_number 26
_symmetry_space_group_name_Hall 'P 2c -2'
loop_
_atom_site_label
_atom_site_type_symbol
_atom_site_fract_x
_atom_site_fract_y
_atom_site_fract_z
Nd1 Nd 0.0000 0.0502 0.0000
Nd2 Nd 0.5000 0.2740 0.3819
Nd3 Nd 0.5000 0.3527 0.8830
Co1 Co 0.0000 0.2167 0.6601
Co2 Co 0.5000 0.1059 0.7038
Ag1 Ag 0.0000 0.4936 0.6267
# Final energy   -63.79 eV/cell

# BeNb3In (PBE, relaxed)
data_BeNb3In
_chemical_formula_sum 'Be1 Nb3 In1'
_cell_length_a 5.0067
_cell_length_b 5.0067
_cell_length_c 5.0067
_cell_angle_alpha 90.00
_cell_angle_beta 90.00
_cell_angle_gamma 90.00
_symmetry_space_group_name_H-M 'P m -3 m'
_symmetry_Int_Tables_number 221
_symmetry_space_group_name_Hall '-P 4 2 3'
loop_
_atom_site_label
_atom_site_type_symbol
_atom_site_fract_x
_atom_site_fract_y
_atom_site_fract_z
Be1 Be 0.0000 0.0000 0.0000
Nb1 Nb 0.0000 0.5000 0.5000
In1 In 0.5000 0.5000 0.5000
# Relative energy among the computed polymorphs   178.7 kJ per mole of atoms

# PuZr2Pd (PBE, relaxed)
data_PuZr2Pd
_chemical_formula_sum 'Pu3 Zr6 Pd3'
_cell_length_a 3.0700
_cell_length_b 3.0700
_cell_length_c 32.1930
_cell_angle_alpha 90.00
_cell_angle_beta 90.00
_cell_angle_gamma 120.00
_symmetry_space_group_name_H-M 'R -3 m'
_symmetry_Int_Tables_number 166
_symmetry_space_group_name_Hall '-R 3 2"'
loop_
_atom_site_label
_atom_site_type_symbol
_atom_site_fract_x
_atom_site_fract_y
_atom_site_fract_z
Pu1 Pu 0.0000 0.0000 0.0000
Zr1 Zr 0.0000 0.0000 0.0954
Pd1 Pd 0.0000 0.0000 0.5000
# Relative energy among the computed polymorphs   34.2 kJ per mole of atoms

# AcCdGa2Pd (PBE, relaxed)
data_AcCdGa2Pd
_chemical_formula_sum 'Ac2 Cd2 Ga4 Pd2'
_cell_length_a 4.4646
_cell_length_b 4.5093
_cell_length_c 11.2801
_cell_angle_alpha 90.00
_cell_angle_beta 90.00
_cell_angle_gamma 90.00
_symmetry_space_group_name_H-M 'I m m 2'
_symmetry_Int_Tables_number 44
_symmetry_space_group_name_Hall 'I 2 -2'
loop_
_atom_site_label
_atom_site_type_symbol
_atom_site_fract_x
_atom_site_fract_y
_atom_site_fract_z
Ac1 Ac 0.0000 0.0000 0.0000
Cd1 Cd 0.0000 0.5000 0.7537
Ga1 Ga 0.0000 0.0000 0.3930
Ga2 Ga 0.0000 0.5000 0.2456
Pd1 Pd 0.0000 0.0000 0.6157
# Final energy   -38.39 eV/cell

# NaBeSb3 (PBE, relaxed)
data_NaBeSb3
_chemical_formula_sum 'Na1 Be1 Sb3'
_cell_length_a 5.3393
_cell_length_b 5.3393
_cell_length_c 5.3393
_cell_angle_alpha 90.00
_cell_angle_beta 90.00
_cell_angle_gamma 90.00
_symmetry_space_group_name_H-M 'P m -3 m'
_symmetry_Int_Tables_number 221
_symmetry_space_group_name_Hall '-P 4 2 3'
loop_
_atom_site_label
_atom_site_type_symbol
_atom_site_fract_x
_atom_site_fract_y
_atom_site_fract_z
Na1 Na 0.0000 0.0000 0.0000
Be1 Be 0.5000 0.5000 0.5000
Sb1 Sb 0.0000 0.0000 0.5000
# Relative energy among the computed polymorphs   96.4 kJ per mole of atoms
# ΔE_f (raw)   1.256 eV per atom

# BaIr2Au (PBE, relaxed)
data_BaIr2Au
_chemical_formula_sum 'Ba2 Ir4 Au2'
_cell_length_a 5.9529
_cell_length_b 10.2609
_cell_length_c 3.0538
_cell_angle_alpha 90.00
_cell_angle_beta 119.40
_cell_angle_gamma 90.00
_symmetry_space_group_name_H-M 'C 1 2/m 1'
_symmetry_Int_Tables_number 12
_symmetry_space_group_name_Hall '-C 2y'
loop_
_atom_site_label
_atom_site_type_symbol
_atom_site_fract_x
_atom_site_fract_y
_atom_site_fract_z
Ba1 Ba 0.0000 0.0000 0.0000
Ir1 Ir 0.2500 0.2500 0.5000
Au1 Au 0.0000 0.5000 0.0000
# Relative energy among the computed polymorphs   73.3 kJ per mole of atoms

# LiHoAlRu (PBE, relaxed)
data_LiHoAlRu
_chemical_formula_sum 'Li4 Ho4 Al4 Ru4'
_cell_length_a 6.5056
_cell_length_b 6.5056
_cell_length_c 6.5056
_cell_angle_alpha 90.00
_cell_angle_beta 90.00
_cell_angle_gamma 90.00
_symmetry_space_group_name_H-M 'F -4 3 m'
_symmetry_Int_Tables_number 216
_symmetry_space_group_name_Hall 'F -4 2 3'
loop_
_atom_site_label
_atom_site_type_symbol
_atom_site_fract_x
_atom_site_fract_y
_atom_site_fract_z
Li1 Li 0.0000 0.0000 0.0000
Ho1 Ho 0.2500 0.2500 0.2500
Al1 Al 0.2500 0.2500 0.7500
Ru1 Ru 0.0000 0.0000 0.5000
# Final energy   -83.58 eV/cell

# NbHgTe2 (PBE, relaxed)
data_NbHgTe2
_chemical_formula_sum 'Nb4 Hg4 Te8'
_cell_length_a 9.9504
_cell_length_b 9.9504
_cell_length_c 6.0013
_cell_angle_alpha 90.00
_cell_angle_beta 90.00
_cell_angle_gamma 90.00
_symmetry_space_group_name_H-M 'I 4/m c m'
_symmetry_Int_Tables_number 140
_symmetry_space_group_name_Hall '-I 4 2c'
loop_
_atom_site_label
_atom_site_type_symbol
_atom_site_fract_x
_atom_site_fract_y
_atom_site_fract_z
Nb1 Nb 0.0000 0.5000 0.2500
Hg1 Hg 0.0000 0.0000 0.2500
Te1 Te 0.1596 0.3404 0.0000
# Relative energy among the computed polymorphs   25.6 kJ per mole of atoms
# ΔE_f (raw)   -0.072 eV per atom

Calculated volume, record by record: 20.574; 64.306; 19.457; 20.084; 24.777; 25.101; 21.897; 22.709; 30.443; 20.315; 17.208; 37.137 Å³/atom